Material: CaSm2Tl2Ag2
Method: DFT, PBE
State: relaxed

Values from the calculation:
- Size of the total moment: 0.0000 μB per atom
- Total DFT energy (no corrections): -23.21 eV per formula unit

abc: 4.9456 4.9456 27.7284
angles: 90.00 90.00 120.00
Space group R-3m (No. 166, hexagonal axes)
Symmetry-distinct sites (fractional):
Ca 0.0000 0.0000 0.0000 (multiplicity 3)
Sm 0.0000 0.0000 0.1253 (multiplicity 6)
Tl 0.0000 0.0000 0.2575 (multiplicity 6)
Ag 0.0000 0.0000 0.4017 (multiplicity 6)